Record 1
Pa6Ni6Ir: optimized geometry, GGA-PBE.

a = 5.2496 Å, b = 7.2404 Å, c = 7.2404 Å
α = 86.13°, β = 68.75°, γ = 68.75°
Sites, in units of the cell vectors:
Pa 0.0000 0.3020 0.6980
Pa 0.0000 0.6980 0.3020
Ni 0.0000 0.5000 0.0000
Ni 0.5000 0.2549 0.7451
Ni 0.5000 0.0000 0.5000
Pa 0.6745 0.3255 0.3255
Ni 0.0000 0.0000 0.5000
Pa 0.6627 0.8373 0.8373
Ni 0.5000 0.7451 0.2549
Ni 0.5000 0.5000 0.0000
Ir 0.0000 0.0000 0.0000
Pa 0.3255 0.6745 0.6745
Pa 0.3373 0.1627 0.1627

Output
magnetization = 0.00 μB/cell
DOS at the Fermi energy = 1.366 states/eV per atom
total DFT energy (no corrections) = -104.32 eV for the cell shown
energy relative to the elements = -0.292 eV per atom



Record 2
Pa3Ni2Ir: optimized geometry, GGA-PBE.

a = 3.6406 Å, b = 7.2108 Å, c = 8.9580 Å
α = 90.00°, β = 90.00°, γ = 90.00°
Sites, in units of the cell vectors:
Pa 0.0000 0.3675 0.4099
Pa 0.5000 0.1837 0.1194
Ni 0.0000 0.4556 0.7393
Ir 0.0000 0.4388 0.0360
Ir 0.0000 0.9388 0.9640
Ni 0.0000 0.9556 0.2607
Pa 0.0000 0.8675 0.5901
Pa 0.5000 0.6798 0.2609
Pa 0.5000 0.1798 0.7391
Ni 0.5000 0.5760 0.5672
Ni 0.5000 0.0760 0.4328
Pa 0.5000 0.6837 0.8806

Output
magnetization = 0.00 μB/cell
DOS at the Fermi energy = 1.241 states/eV per atom
total DFT energy (no corrections) = -102.86 eV for the cell shown
energy relative to the elements = -0.420 eV per atom



Record 3
PaNiIr2: optimized geometry, GGA-PBE.

a = 4.3710 Å, b = 4.3710 Å, c = 5.0086 Å
α = 64.13°, β = 64.13°, γ = 60.00°
Sites, in units of the cell vectors:
Ni 0.5000 0.5000 0.5000
Ir 0.7920 0.7920 0.6239
Pa 0.0000 0.0000 0.0000
Ir 0.2080 0.2080 0.3761

Output
magnetization = 0.00 μB/cell
energy above the most stable polymorph in this dataset = 291 meV per atom
DOS at the Fermi energy = 1.232 states/eV per atom
total DFT energy (no corrections) = -34.77 eV for the cell shown
energy relative to the elements = -0.443 eV per atom



Record 4
Pa2Ni3Ir3: optimized geometry, GGA-PBE.

a = 4.0173 Å, b = 4.0176 Å, c = 7.8893 Å
α = 90.00°, β = 90.00°, γ = 90.00°
Sites, in units of the cell vectors:
Pa 0.0000 0.0000 0.2482
Ni 0.5000 0.5000 0.7540
Ir 0.5000 0.0000 0.5000
Ir 0.0000 0.5000 0.5000
Ni 0.5000 0.0000 0.0000
Ir 0.0000 0.5000 0.0000
Pa 0.0000 0.0000 0.7518
Ni 0.5000 0.5000 0.2460

Output
magnetization = 0.00 μB/cell
DOS at the Fermi energy = 0.449 states/eV per atom
total DFT energy (no corrections) = -68.38 eV for the cell shown
energy relative to the elements = -0.683 eV per atom



Record 5
PaNi4Ir: optimized geometry, GGA-PBE.

a = 5.7897 Å, b = 5.7897 Å, c = 5.7897 Å
α = 60.00°, β = 60.00°, γ = 60.00°
Sites, in units of the cell vectors:
Ni 0.5988 0.5988 0.2035
Ni 0.5988 0.2035 0.5988
Ni 0.5988 0.5988 0.5988
Pa 0.7500 0.7500 0.7500
Ir 0.0000 0.0000 0.0000
Ni 0.2035 0.5988 0.5988

Output
magnetization = 0.02 μB/cell
energy above the most stable polymorph in this dataset = 1783 meV per atom
DOS at the Fermi energy = 0.858 states/eV per atom
total DFT energy (no corrections) = -33.25 eV for the cell shown
energy relative to the elements = 1.372 eV per atom



Record 6
Pa4Ni3Ir: optimized geometry, GGA-PBE.

a = 3.5567 Å, b = 3.7794 Å, c = 11.5738 Å
α = 90.00°, β = 90.00°, γ = 90.00°
Sites, in units of the cell vectors:
Ni 0.0000 0.5000 0.5734
Pa 0.0000 0.0000 0.1608
Pa 0.5000 0.0000 0.6469
Ni 0.0000 0.0000 0.4320
Ir 0.5000 0.5000 0.0728
Pa 0.0000 0.5000 0.8428
Pa 0.5000 0.5000 0.3565
Ni 0.5000 0.0000 0.9147

Output
magnetization = 0.00 μB/cell
DOS at the Fermi energy = 1.237 states/eV per atom
total DFT energy (no corrections) = -67.70 eV for the cell shown
energy relative to the elements = -0.439 eV per atom



Record 7
Pa2Ni9Ir: optimized geometry, GGA-PBE.

a = 4.3574 Å, b = 4.3574 Å, c = 9.0731 Å
α = 90.00°, β = 90.00°, γ = 106.31°
Sites, in units of the cell vectors:
Pa 0.0000 0.0000 0.6887
Ir 0.0000 0.0000 0.0000
Ni 0.0000 0.5000 0.1473
Pa 0.0000 0.0000 0.3113
Ni 0.5000 0.0000 0.8527
Ni 0.5000 0.5000 0.0000
Ni 0.5000 0.0000 0.5000
Ni 0.5000 0.5000 0.6651
Ni 0.0000 0.5000 0.8527
Ni 0.0000 0.5000 0.5000
Ni 0.5000 0.0000 0.1473
Ni 0.5000 0.5000 0.3349

Output
magnetization = 0.00 μB/cell
energy above the most stable polymorph in this dataset = 11 meV per atom
DOS at the Fermi energy = 0.716 states/eV per atom
total DFT energy (no corrections) = -82.23 eV for the cell shown
energy relative to the elements = -0.196 eV per atom



Record 8
PaNiIrPd: optimized geometry, GGA-PBE.

a = 4.0233 Å, b = 3.9521 Å, c = 4.1761 Å
α = 90.00°, β = 90.00°, γ = 90.00°
Sites, in units of the cell vectors:
Ni 0.0000 0.0000 0.0000
Pd 0.5000 0.5000 0.0000
Ir 0.5000 0.0000 0.5000
Pa 0.0000 0.5000 0.5000

Output
magnetization = 0.00 μB/cell
DOS at the Fermi energy = 0.165 states/eV per atom
total DFT energy (no corrections) = -32.13 eV for the cell shown
energy relative to the elements = -0.701 eV per atom



Record 9
PmPaNiIr: optimized geometry, GGA-PBE.

a = 4.8858 Å, b = 4.8858 Å, c = 4.8858 Å
α = 60.00°, β = 60.00°, γ = 60.00°
Sites, in units of the cell vectors:
Pa 0.0000 0.0000 0.0000
Ni 0.2500 0.2500 0.2500
Ir 0.7500 0.7500 0.7500
Pm 0.5000 0.5000 0.5000

Output
magnetization = 0.00 μB/cell
DOS at the Fermi energy = 1.408 states/eV per atom
total DFT energy (no corrections) = -30.44 eV for the cell shown
energy relative to the elements = -0.388 eV per atom



Record 10
PaNiIrPt: optimized geometry, GGA-PBE.

a = 4.0383 Å, b = 3.9725 Å, c = 4.1685 Å
α = 90.00°, β = 90.00°, γ = 90.00°
Sites, in units of the cell vectors:
Ir 0.0000 0.5000 0.5000
Pa 0.5000 0.0000 0.5000
Pt 0.0000 0.0000 0.0000
Ni 0.5000 0.5000 0.0000

Output
magnetization = 0.00 μB/cell
DOS at the Fermi energy = 0.208 states/eV per atom
total DFT energy (no corrections) = -33.41 eV for the cell shown
energy relative to the elements = -0.807 eV per atom



Record 11
PuPaNiIr: optimized geometry, GGA-PBE.

a = 4.6260 Å, b = 4.6260 Å, c = 4.6260 Å
α = 60.00°, β = 60.00°, γ = 60.00°
Each line ends with the local moment (μB).
Sites, in units of the cell vectors:
Ir 0.7500 0.7500 0.7500  -0.19
Pa 0.5000 0.5000 0.5000  0.32
Ni 0.0000 0.0000 0.0000  -0.18
Pu 0.2500 0.2500 0.2500  4.50

Output
magnetization = 4.39 μB/cell
DOS at the Fermi energy = 0.988 states/eV per atom
total DFT energy (no corrections) = -40.60 eV for the cell shown
energy relative to the elements = -0.534 eV per atom



Record 12
PaNiIrRu: optimized geometry, GGA-PBE.

a = 3.9154 Å, b = 3.9990 Å, c = 4.1199 Å
α = 90.00°, β = 90.00°, γ = 90.00°
Sites, in units of the cell vectors:
Ru 0.0000 0.0000 0.0000
Ni 0.5000 0.0000 0.5000
Pa 0.5000 0.5000 0.0000
Ir 0.0000 0.5000 0.5000

Output
magnetization = 0.00 μB/cell
DOS at the Fermi energy = 1.019 states/eV per atom
total DFT energy (no corrections) = -35.83 eV for the cell shown
energy relative to the elements = -0.603 eV per atom